1.
The following is a PBE calculation of Na2Mg2Ga2CuPt after structural relaxation, from the Open Quantum Materials Database.

Cell: 4.594 4.594 6.499 Å, 90.00 90.00 90.00°
Space group P-4m2 (No. 115)
One atom of each set of equivalent atoms:
Na (0.000, 0.000, 0.000) [1 per cell]
Na (0.500, 0.500, 0.500) [1 per cell]
Mg (0.000, 0.500, 0.245) [2 per cell]
Ga (0.000, 0.500, 0.753) [2 per cell]
Cu (0.000, 0.000, 0.500) [1 per cell]
Pt (0.500, 0.500, 0.000) [1 per cell]

2.
The following is a PBE calculation of DySc2Al3CuGe2 after structural relaxation, from the Open Quantum Materials Database.

Cell: 4.048 11.913 6.789 Å, 90.00 90.00 90.00°
Space group Amm2 (No. 38)
One atom of each set of equivalent atoms:
Dy (0.000, 0.000, 0.000) [2 per cell]
Sc (0.000, 0.202, 0.394) [4 per cell]
Al (0.500, 0.000, 0.357) [2 per cell]
Al (0.500, 0.118, 0.709) [4 per cell]
Cu (0.000, 0.000, 0.582) [2 per cell]
Ge (0.500, 0.172, 0.096) [4 per cell]

Number 1: E_tot -23.03 eV for the cell shown. Number 2: E_tot -94.34 eV for the cell shown.